## i
MgSi2Pb: optimized geometry, PBE.

For the density of states at the Fermi level, the calculation gives 0.3920 states/eV per atom. The crystal system is monoclinic. The calculation puts the total moment at 0.000 μB/atom.

abc: 5.807 7.758 3.781
angles: 90.00 91.39 90.00
Space group C2/m (No. 12)
Unique sites:
1 Mg 0.000 0.000 0.000 [2 per cell]
2 Si 0.250 0.250 0.500 [4 per cell]
3 Pb 0.000 0.500 0.000 [2 per cell]



## ii
MgSi2Pb: optimized geometry, PBE.

For the density of states at the Fermi level, the calculation gives 0.4420 states/eV per atom. The crystal system is tetragonal. The calculation puts the total moment at 0.000 μB/atom.

abc: 3.405 3.405 7.240
angles: 90.00 90.00 90.00
Space group P4mm (No. 99)
Unique sites:
1 Mg 0.000 0.000 0.000 [1 per cell]
2 Si 0.000 0.000 0.628 [1 per cell]
3 Si 0.500 0.500 0.748 [1 per cell]
4 Pb 0.500 0.500 0.306 [1 per cell]



Stability, lowest: i



## i
MgSi2Pb: optimized geometry, PBE.

For the density of states at the Fermi level, the calculation gives 0.4972 states/eV per atom. The crystal system is cubic. The calculation puts the total moment at 0.000 μB/atom.

abc: 6.949 6.949 6.949
angles: 90.00 90.00 90.00
Space group F-43m (No. 216)
Unique sites:
1 Mg 0.000 0.000 0.000 [4 per cell]
2 Si 0.000 0.000 0.500 [4 per cell]
3 Si 0.250 0.250 0.250 [4 per cell]
4 Pb 0.250 0.250 0.750 [4 per cell]



## ii
MgSi2Pb: optimized geometry, PBE.

For the density of states at the Fermi level, the calculation gives 0.4460 states/eV per atom. The crystal system is monoclinic. The calculation puts the total moment at 0.000 μB/atom.

abc: 9.244 3.686 5.767
angles: 90.00 114.09 90.00
Space group Cm (No. 8)
Unique sites:
1 Mg 0.000 0.000 0.000 [2 per cell]
2 Si 0.239 0.500 0.102 [2 per cell]
3 Si 0.384 0.000 0.363 [2 per cell]
4 Pb 0.183 0.000 0.637 [2 per cell]



## iii
MgSi2Pb: optimized geometry, PBE.

For the density of states at the Fermi level, the calculation gives 0.3581 states/eV per atom. The crystal system is monoclinic. The calculation puts the total moment at 0.000 μB/atom.

abc: 9.068 3.635 5.721
angles: 90.00 104.85 90.00
Space group C2/m (No. 12)
Unique sites:
1 Mg 0.000 0.000 0.000 [2 per cell]
2 Si 0.243 0.500 0.142 [4 per cell]
3 Pb 0.000 0.500 0.500 [2 per cell]



## iv
MgSi2Pb: optimized geometry, PBE.

For the density of states at the Fermi level, the calculation gives 0.4779 states/eV per atom. The crystal system is orthorhombic. The calculation puts the total moment at 0.000 μB/atom.

abc: 4.199 4.556 8.806
angles: 90.00 90.00 90.00
Space group Immm (No. 71)
Unique sites:
1 Mg 0.000 0.000 0.000 [2 per cell]
2 Si 0.000 0.500 0.254 [4 per cell]
3 Pb 0.000 0.000 0.500 [2 per cell]



Stability, lowest: i



## i
MgSi2Pb: optimized geometry, PBE.

For the density of states at the Fermi level, the calculation gives 0.7708 states/eV per atom. The crystal system is trigonal. The calculation puts the total moment at 0.000 μB/atom.

abc: 3.5144 3.5144 25.0332
angles: 90.00 90.00 120.00
Space group R-3m (No. 166, hexagonal axes)
Unique sites:
1 Mg 0.0000 0.0000 0.0000 [3 per cell]
2 Si 0.0000 0.0000 0.2567 [6 per cell]
3 Pb 0.0000 0.0000 0.5000 [3 per cell]



## ii
MgSi2Pb: optimized geometry, PBE.

For the density of states at the Fermi level, the calculation gives 0.3104 states/eV per atom. The crystal system is monoclinic. The calculation puts the total moment at 0.000 μB/atom.

abc: 3.121 3.775 7.421
angles: 90.00 99.95 90.00
Space group Pm (No. 6)
Unique sites:
1 Mg 0.000 0.000 0.000 [1 per cell]
2 Si 0.320 0.000 0.609 [1 per cell]
3 Si 0.422 0.500 0.813 [1 per cell]
4 Pb 0.639 0.500 0.311 [1 per cell]



## iii
MgSi2Pb: optimized geometry, PBE.

For the density of states at the Fermi level, the calculation gives 0.5978 states/eV per atom. The crystal system is tetragonal. The calculation puts the total moment at 0.000 μB/atom.

abc: 4.284 4.284 9.213
angles: 90.00 90.00 90.00
Space group I-4m2 (No. 119)
Unique sites:
1 Mg 0.000 0.000 0.000 [2 per cell]
2 Si 0.000 0.000 0.500 [2 per cell]
3 Si 0.000 0.500 0.250 [2 per cell]
4 Pb 0.000 0.500 0.750 [2 per cell]



## iv
MgSi2Pb: optimized geometry, PBE.

For the density of states at the Fermi level, the calculation gives 0.3070 states/eV per atom. The crystal system is monoclinic. The calculation puts the total moment at 0.000 μB/atom.

abc: 3.183 4.077 6.588
angles: 90.00 90.51 90.00
Space group P2/m (No. 10)
Unique sites:
1 Mg 0.000 0.000 0.000 [1 per cell]
2 Si 0.493 0.500 0.813 [2 per cell]
3 Pb 0.000 0.000 0.500 [1 per cell]



Stability, lowest: i



## i
MgSiPb2: optimized geometry, PBE.

For the density of states at the Fermi level, the calculation gives 0.3363 states/eV per atom. The crystal system is tetragonal. The calculation puts the total moment at 0.000 μB/atom.

abc: 6.958 6.958 11.073
angles: 90.00 90.00 90.00
Space group I-42d (No. 122)
Unique sites:
1 Mg 0.000 0.000 0.000 [4 per cell]
2 Si 0.000 0.000 0.500 [4 per cell]
3 Pb 0.221 0.250 0.625 [8 per cell]



## ii
MgSiPb2: optimized geometry, PBE.

For the density of states at the Fermi level, the calculation gives 0.4729 states/eV per atom. The crystal system is cubic. The calculation puts the total moment at 0.000 μB/atom.

abc: 7.426 7.426 7.426
angles: 90.00 90.00 90.00
Space group F-43m (No. 216)
Unique sites:
1 Mg 0.000 0.000 0.000 [4 per cell]
2 Si 0.250 0.250 0.250 [4 per cell]
3 Pb 0.000 0.000 0.500 [4 per cell]
4 Pb 0.250 0.250 0.750 [4 per cell]



Stability, lowest: i



## i
Mg2SiPb: optimized geometry, PBE.

For the density of states at the Fermi level, the calculation gives 0.4255 states/eV per atom. The crystal system is orthorhombic. The calculation puts the total moment at 0.000 μB/atom.

abc: 4.327 4.953 8.278
angles: 90.00 90.00 90.00
Space group Immm (No. 71)
Unique sites:
1 Mg 0.000 0.000 0.232 [4 per cell]
2 Si 0.000 0.500 0.500 [2 per cell]
3 Pb 0.000 0.500 0.000 [2 per cell]



## ii
Mg2SiPb: optimized geometry, PBE.

For the density of states at the Fermi level, the calculation gives 0.3297 states/eV per atom. The crystal system is monoclinic. The calculation puts the total moment at 0.000 μB/atom.

abc: 6.493 8.188 3.336
angles: 90.00 93.27 90.00
Space group C2/m (No. 12)
Unique sites:
1 Mg 0.250 0.250 0.000 [4 per cell]
2 Si 0.000 0.000 0.500 [2 per cell]
3 Pb 0.000 0.500 0.500 [2 per cell]



## iii
Mg2SiPb: optimized geometry, PBE.

For the density of states at the Fermi level, the calculation gives 0.3478 states/eV per atom. The crystal system is orthorhombic. The calculation puts the total moment at 0.000 μB/atom.

abc: 3.409 4.508 12.149
angles: 90.00 90.00 90.00
Space group Imm2 (No. 44)
Unique sites:
1 Mg 0.000 0.000 0.000 [2 per cell]
2 Mg 0.000 0.500 0.197 [2 per cell]
3 Si 0.000 0.000 0.515 [2 per cell]
4 Pb 0.000 0.500 0.804 [2 per cell]



Stability, lowest: ii